Record 1
Material: CuTe2Ir
Method: DFT, GGA-PBE
State: optimized geometry

```
data_CuTe2Ir
_chemical_formula_sum 'Cu1 Te2 Ir1'
_space_group_name_H-M_alt 'P 1'
_space_group_IT_number 1
_space_group_name_Hall 'P 1'
_cell_length_a 5.570
_cell_length_b 5.570
_cell_length_c 5.570
_cell_angle_alpha 137.23
_cell_angle_beta 137.23
_cell_angle_gamma 62.08
loop_
_atom_site_label
_atom_site_type_symbol
_atom_site_fract_x
_atom_site_fract_y
_atom_site_fract_z
Cu1 Cu 0.500 0.500 0.000
Ir1 Ir 0.750 0.250 0.500
Te1 Te 0.000 0.000 0.000
Te2 Te 0.250 0.750 0.500
```

Output
Space-group type: No. 119
E_form (uncorrected), eV per formula unit: 2.17
Uncorrected energy, eV/f.u.: -17.072


Record 2
Material: Cu2TeIr
Method: DFT, GGA-PBE
State: optimized geometry

```
data_Cu2TeIr
_chemical_formula_sum 'Cu2 Te1 Ir1'
_space_group_name_H-M_alt 'P 1'
_space_group_IT_number 1
_space_group_name_Hall 'P 1'
_cell_length_a 4.463
_cell_length_b 4.463
_cell_length_c 4.463
_cell_angle_alpha 60.00
_cell_angle_beta 60.00
_cell_angle_gamma 60.00
loop_
_atom_site_label
_atom_site_type_symbol
_atom_site_fract_x
_atom_site_fract_y
_atom_site_fract_z
Cu1 Cu 0.000 0.000 0.000
Cu2 Cu 0.750 0.750 0.750
Ir1 Ir 0.500 0.500 0.500
Te1 Te 0.250 0.250 0.250
```

Output
Space-group type: No. 216
E_form (uncorrected), eV per formula unit: 1.18
Uncorrected energy, eV/f.u.: -19.015


Record 3
Material: ZrCuTe2Ir
Method: DFT, GGA-PBE
State: optimized geometry

```
data_ZrCuTe2Ir
_chemical_formula_sum 'Zr1 Cu1 Te2 Ir1'
_space_group_name_H-M_alt 'P 1'
_space_group_IT_number 1
_space_group_name_Hall 'P 1'
_cell_length_a 5.168
_cell_length_b 4.611
_cell_length_c 5.168
_cell_angle_alpha 90.00
_cell_angle_beta 90.00
_cell_angle_gamma 90.00
loop_
_atom_site_label
_atom_site_type_symbol
_atom_site_fract_x
_atom_site_fract_y
_atom_site_fract_z
Ir1 Ir 0.000 0.000 0.000
Te1 Te 0.000 0.000 0.500
Te2 Te 0.500 0.000 0.000
Cu1 Cu 0.000 0.500 0.000
Zr1 Zr 0.500 0.500 0.500
```

Output
Space-group type: No. 123
E_form (uncorrected), eV per formula unit: 2.54
Uncorrected energy, eV/f.u.: -25.245


Record 4
Material: ThCu4Ir
Method: DFT, GGA-PBE
State: optimized geometry

```
data_ThCu4Ir
_chemical_formula_sum 'Th1 Cu4 Ir1'
_space_group_name_H-M_alt 'P 1'
_space_group_IT_number 1
_space_group_name_Hall 'P 1'
_cell_length_a 5.060
_cell_length_b 5.060
_cell_length_c 5.060
_cell_angle_alpha 60.00
_cell_angle_beta 60.00
_cell_angle_gamma 60.00
loop_
_atom_site_label
_atom_site_type_symbol
_atom_site_fract_x
_atom_site_fract_y
_atom_site_fract_z
Ir1 Ir 0.250 0.250 0.250
Cu1 Cu 0.624 0.624 0.129
Cu2 Cu 0.624 0.129 0.624
Cu3 Cu 0.624 0.624 0.624
Cu4 Cu 0.129 0.624 0.624
Th1 Th 0.000 0.000 0.000
```

Output
Space-group type: No. 216
Energy of formation, eV/f.u.: -1.44
Uncorrected energy, eV/f.u.: -34.106


Record 5
Material: Th3Cu2Ir7
Method: DFT, GGA-PBE
State: optimized geometry

```
data_Th3Cu2Ir7
_chemical_formula_sum 'Th3 Cu2 Ir7'
_space_group_name_H-M_alt 'P 1'
_space_group_IT_number 1
_space_group_name_Hall 'P 1'
_cell_length_a 5.428
_cell_length_b 5.428
_cell_length_c 9.060
_cell_angle_alpha 72.57
_cell_angle_beta 72.57
_cell_angle_gamma 60.00
loop_
_atom_site_label
_atom_site_type_symbol
_atom_site_fract_x
_atom_site_fract_y
_atom_site_fract_z
Th1 Th 0.000 0.000 0.000
Th2 Th 0.861 0.861 0.417
Th3 Th 0.139 0.139 0.583
Cu1 Cu 0.666 0.666 0.003
Cu2 Cu 0.334 0.334 0.997
Ir1 Ir 0.500 0.500 0.500
Ir2 Ir 0.924 0.415 0.245
Ir3 Ir 0.415 0.924 0.245
Ir4 Ir 0.415 0.415 0.245
Ir5 Ir 0.076 0.585 0.755
Ir6 Ir 0.585 0.585 0.755
Ir7 Ir 0.585 0.076 0.755
```

Output
Space-group type: No. 166
Energy of formation, eV/f.u.: -7.58
Uncorrected energy, eV/f.u.: -100.060


Record 6
Material: ThCuIr4
Method: DFT, GGA-PBE
State: optimized geometry

```
data_ThCuIr4
_chemical_formula_sum 'Th1 Cu1 Ir4'
_space_group_name_H-M_alt 'P 1'
_space_group_IT_number 1
_space_group_name_Hall 'P 1'
_cell_length_a 5.317
_cell_length_b 5.317
_cell_length_c 5.317
_cell_angle_alpha 60.00
_cell_angle_beta 60.00
_cell_angle_gamma 60.00
loop_
_atom_site_label
_atom_site_type_symbol
_atom_site_fract_x
_atom_site_fract_y
_atom_site_fract_z
Ir1 Ir 0.626 0.626 0.123
Ir2 Ir 0.626 0.123 0.626
Ir3 Ir 0.626 0.626 0.626
Ir4 Ir 0.123 0.626 0.626
Cu1 Cu 0.000 0.000 0.000
Th1 Th 0.250 0.250 0.250
```

Output
Space-group type: No. 216
Energy of formation, eV/f.u.: -1.87
Uncorrected energy, eV/f.u.: -48.825


Record 7
Material: Th3CuIr8
Method: DFT, GGA-PBE
State: optimized geometry

```
data_Th3CuIr8
_chemical_formula_sum 'Th3 Cu1 Ir8'
_space_group_name_H-M_alt 'P 1'
_space_group_IT_number 1
_space_group_name_Hall 'P 1'
_cell_length_a 5.403
_cell_length_b 5.403
_cell_length_c 9.358
_cell_angle_alpha 73.22
_cell_angle_beta 73.22
_cell_angle_gamma 60.00
loop_
_atom_site_label
_atom_site_type_symbol
_atom_site_fract_x
_atom_site_fract_y
_atom_site_fract_z
Th1 Th 0.622 0.622 0.135
Th2 Th 0.011 0.011 0.968
Th3 Th 0.491 0.491 0.526
Cu1 Cu 0.141 0.141 0.578
Ir1 Ir 0.562 0.058 0.817
Ir2 Ir 0.060 0.561 0.319
Ir3 Ir 0.562 0.562 0.817
Ir4 Ir 0.060 0.060 0.319
Ir5 Ir 0.810 0.810 0.569
Ir6 Ir 0.311 0.311 0.068
Ir7 Ir 0.058 0.562 0.817
Ir8 Ir 0.561 0.060 0.319
```

Output
Space-group type: No. 160
Energy of formation, eV/f.u.: -7.29
Uncorrected energy, eV/f.u.: -104.534


Record 8
Material: ThTiCuIr2
Method: DFT, GGA-PBE
State: optimized geometry

```
data_ThTiCuIr2
_chemical_formula_sum 'Th1 Ti1 Cu1 Ir2'
_space_group_name_H-M_alt 'P 1'
_space_group_IT_number 1
_space_group_name_Hall 'P 1'
_cell_length_a 3.903
_cell_length_b 3.903
_cell_length_c 6.720
_cell_angle_alpha 106.88
_cell_angle_beta 106.88
_cell_angle_gamma 90.00
loop_
_atom_site_label
_atom_site_type_symbol
_atom_site_fract_x
_atom_site_fract_y
_atom_site_fract_z
Th1 Th 0.000 0.000 0.000
Ti1 Ti 0.250 0.750 0.500
Cu1 Cu 0.750 0.250 0.500
Ir1 Ir 0.610 0.610 0.220
Ir2 Ir 0.390 0.390 0.780
```

Output
Space-group type: No. 119
Energy of formation, eV/f.u.: -3.03
Uncorrected energy, eV/f.u.: -40.167